No. 1
Computed, not measured: an optimized crystal structure of LaTiSe2 at the PBE-GGA level of DFT.

Computed properties:
Its polymorph energy (0 for the lowest one) is 20.6 kJ per mole of atoms. The value obtained for the uncorrected formation energy is -92.47 kJ per mole of atoms. The total energy is -5.906 eV/atom.

a b c (Å): 3.7162 3.7162 26.7404
angles (deg): 90.00 90.00 120.00
Space group R-3m (No. 166, hexagonal axes)
Asymmetric unit:
La 0.0000 0.0000 0.0000
Ti 0.0000 0.0000 0.5000
Se 0.0000 0.0000 0.1107

***

No. 2
Computed, not measured: an optimized crystal structure of Cs9K3O2 at the PBE-GGA level of DFT.

Computed properties:
The value obtained for the uncorrected formation energy is -42.85 kJ per mole of atoms. The total energy is -1.936 eV/atom.

a b c (Å): 17.2151 17.2151 24.0958
angles (deg): 90.00 90.00 120.00
Space group R-3c (No. 167, hexagonal axes)
Asymmetric unit:
Cs 0.0000 0.1293 0.2500
Cs 0.0038 0.1436 0.8973
K 0.0000 0.3442 0.7500
O 0.0000 0.0000 0.1658

***

No. 3
Computed, not measured: an optimized crystal structure of CsCa2In2 at the PBE-GGA level of DFT.

Computed properties:
Its polymorph energy (0 for the lowest one) is 3.7 kJ per mole of atoms. The total energy is -2.218 eV/atom.

a b c (Å): 9.610 9.610 3.979
angles (deg): 90.00 90.00 90.00
Space group P4/mbm (No. 127)
Asymmetric unit:
Cs 0.000 0.000 0.000
Ca 0.171 0.329 0.500
In 0.115 0.615 0.000